[1]
Computed, not measured: Sr2CaCd3 after structural relaxation at the PBE level of DFT.

Output
uncorrected energy = -20.19 eV/cell
spin magnetization = 0.00 μB per formula unit
DOS at the Fermi energy = 10.8 states/eV per cell
crystal system = trigonal
excess energy over the best structure of this formula in the dataset = 0.3 kJ per mole of atoms
formation energy = -0.33 eV/atom

a b c (Å): 5.6472 5.6472 13.8127
angles (deg): 90.00 90.00 120.00
Element x y z (fractional)
Cd  0.0000  0.0000  0.7455
Cd  0.6667  0.3333  0.0880
Cd  0.6667  0.3333  0.5818
Cd  0.3333  0.6667  0.9120
Cd  0.0000  0.0000  0.2545
Cd  0.3333  0.6667  0.4182
Ca  0.6667  0.3333  0.3348
Ca  0.3333  0.6667  0.6652
Sr  0.0000  0.0000  0.0000
Sr  0.0000  0.0000  0.5000
Sr  0.6667  0.3333  0.8297
Sr  0.3333  0.6667  0.1703

=====

[2]
Computed, not measured: ReNi after structural relaxation at the PBE level of DFT.

Output
uncorrected energy = -35.93 eV/cell
spin magnetization = 0.00 μB per formula unit
DOS at the Fermi energy = 6.4 states/eV per cell
crystal system = trigonal
formation energy = 0.13 eV/atom

a b c (Å): 2.6974 8.5991 2.6974
angles (deg): 99.02 60.00 99.02
Element x y z (fractional)
Ni  0.2524  0.7571  0.2524
Ni  0.9976  0.9929  0.9976
Re  0.7468  0.2404  0.7468
Re  0.5032  0.5096  0.5032

=====

[3]
Computed, not measured: La2Pr2DyCd5 after structural relaxation at the PBE level of DFT.

Output
uncorrected energy = -61.02 eV/cell
spin magnetization = 0.00 μB per formula unit
DOS at the Fermi energy = 14.3 states/eV per cell
crystal system = tetragonal
formation energy = -0.19 eV/atom

a b c (Å): 4.8948 10.8753 10.8753
angles (deg): 90.00 90.00 90.00
Element x y z (fractional)
Cd  0.5000  0.8121  0.9331
Cd  0.5000  0.9331  0.1879
Cd  0.5000  0.5000  0.0000
Cd  0.5000  0.0000  0.5000
Cd  0.5000  0.3121  0.5669
Cd  0.5000  0.0669  0.8121
Cd  0.5000  0.4331  0.3121
Cd  0.5000  0.1879  0.0669
Cd  0.5000  0.5669  0.6879
Cd  0.5000  0.6879  0.4331
La  0.0000  0.3251  0.8251
La  0.0000  0.1749  0.3251
La  0.0000  0.6749  0.1749
La  0.0000  0.8251  0.6749
Pr  0.0000  0.3735  0.1265
Pr  0.0000  0.8735  0.3735
Pr  0.0000  0.1265  0.6265
Pr  0.0000  0.6265  0.8735
Dy  0.0000  0.0000  0.0000
Dy  0.0000  0.5000  0.5000

=====

[4]
Computed, not measured: RbPaAgI6 after structural relaxation at the PBE level of DFT.

Output
uncorrected energy = -61.62 eV/cell
spin magnetization = 1.00 μB per formula unit
formation energy (no corrections) = -0.910 eV per atom
DOS at the Fermi energy = 2.2 states/eV per cell
crystal system = trigonal

a b c (Å): 7.8707 7.8707 16.6641
angles (deg): 90.00 90.00 120.00
Site moments in Bohr magnetons follow the coordinates.
Element x y z (fractional)
I  0.0048  0.6390  0.8562  -0.02
I  0.9952  0.3610  0.1438  -0.02
I  0.9952  0.6342  0.3562  -0.02
I  0.3658  0.0048  0.1438  -0.02
I  0.6390  0.0048  0.3562  -0.02
I  0.3610  0.9952  0.6438  -0.02
I  0.6390  0.6342  0.1438  -0.02
I  0.6342  0.6390  0.6438  -0.02
I  0.3658  0.3610  0.3562  -0.02
I  0.0048  0.3658  0.6438  -0.02
I  0.6342  0.9952  0.8562  -0.02
I  0.3610  0.3658  0.8562  -0.02
Pa  0.3333  0.6667  0.7500  1.09
Pa  0.6667  0.3333  0.2500  1.09
Rb  0.0000  0.0000  0.0000  0.00
Rb  0.0000  0.0000  0.5000  0.00
Ag  0.6667  0.3333  0.7500  0.00
Ag  0.3333  0.6667  0.2500  0.00

=====

Question: Look up the uncorrected energy of the third one.
Answer: -61.02 eV/cell